Li2FeO2F | PBE with a Hubbard U | optimized geometry

a = 5.125 Å, b = 5.125 Å, c = 5.229 Å
α = 101.99°, β = 101.99°, γ = 117.19°
Element x y z (fractional)
Li 0.085 0.915 0.500
Li 0.281 0.786 0.965
Li 0.786 0.281 0.465
Li 0.915 0.085 0.000
Fe 0.460 0.661 0.465
Fe 0.661 0.460 0.965
O 0.034 0.522 0.224
O 0.522 0.034 0.724
O 0.679 0.828 0.221
O 0.828 0.679 0.721
F 0.212 0.371 0.699
F 0.371 0.212 0.199

Relative energy among the computed polymorphs in meV/atom: 88.4
SG: Cc (9)
Spin magnetization in μB per cell: 10.00